# 1
Tb2YMg | Alexandria | PBE | relaxed; E_form = 0.02 eV/atom; offset from the most stable computed form = 58 meV per atom; space group = P4/mmm
1.0
4.920 0.000 0.000
0.000 4.920 0.000
0.000 0.000 4.932
Tb Y Mg
2 1 1
direct
0.000 0.500 0.000
0.500 0.000 0.000
0.000 0.000 0.500
0.500 0.500 0.500

---

# 2
SmCdCo | Alexandria | PBE | relaxed; E_form = -0.18 eV/atom; space group = C2/m
1.0
6.527 -1.960 0.000
6.527 1.960 0.000
-1.148 0.000 5.043
Sm Cd Co
2 2 2
direct
0.137 0.137 0.321
0.863 0.863 0.679
0.424 0.424 0.219
0.576 0.576 0.781
0.231 0.231 0.887
0.769 0.769 0.113

---

# 3
YTcAsBr2 | Alexandria | PBE | relaxed; offset from the most stable computed form = 0 meV per atom; energy relative to the elements, uncorrected = 0.0183 eV per atom; space group = P4/mmm
1.0
5.094 0.000 0.000
0.000 5.094 0.000
0.000 0.000 4.803
Y Tc As Br
1 1 1 2
direct
0.000 0.000 0.000
0.500 0.500 0.500
0.500 0.500 0.000
0.000 0.500 0.500
0.500 0.000 0.500

---

# 4
MgCr2Tc | Alexandria | PBE | relaxed; E_form = 0.22 eV/atom; space group = P4mm
1.0
2.988 0.000 0.000
0.000 2.988 0.000
0.000 0.000 6.553
Mg Cr Tc
1 2 1
direct
0.000 0.000 0.000
0.000 0.000 0.497
0.500 0.500 0.710
0.500 0.500 0.282

---

# 5
HfTiAu6 | Alexandria | PBE | relaxed; E_form = -0.35 eV/atom; space group = C2/m
1.0
4.421 -2.154 0.000
4.421 2.154 0.000
-4.217 0.000 7.547
Hf Ti Au
1 1 6
direct
0.000 0.000 0.000
0.000 0.000 0.500
0.248 0.248 0.870
0.251 0.251 0.379
0.498 0.498 0.250
0.502 0.502 0.750
0.749 0.749 0.621
0.752 0.752 0.130

---

# 6
LaMg2Pd9 | Alexandria | PBE | relaxed; E_form = -0.56 eV/atom; space group = P4/mmm
1.0
4.144 0.000 0.000
0.000 4.144 0.000
0.000 0.000 11.728
La Mg Pd
1 2 9
direct
0.000 0.000 0.000
0.000 0.000 0.343
0.000 0.000 0.657
0.000 0.500 0.184
0.000 0.500 0.500
0.000 0.500 0.816
0.500 0.000 0.184
0.500 0.000 0.500
0.500 0.000 0.816
0.500 0.500 0.000
0.500 0.500 0.343
0.500 0.500 0.657

---

# 7
Sr3Ge5Ir6 | Alexandria | PBE | relaxed; E_form = -0.55 eV/atom; space group = Pmmn
1.0
4.127 0.000 0.000
0.000 12.842 0.000
0.000 0.000 10.388
Sr Ge Ir
6 10 12
direct
0.250 0.099 0.248
0.250 0.401 0.248
0.250 0.750 0.240
0.750 0.250 0.760
0.750 0.599 0.752
0.750 0.901 0.752
0.250 0.074 0.649
0.250 0.426 0.649
0.250 0.622 0.989
0.250 0.750 0.596
0.250 0.878 0.989
0.750 0.122 0.011
0.750 0.250 0.404
0.750 0.378 0.011
0.750 0.574 0.351
0.750 0.926 0.351
0.250 0.055 0.893
0.250 0.250 0.001
0.250 0.250 0.529
0.250 0.445 0.893
0.250 0.579 0.486
0.250 0.921 0.486
0.750 0.079 0.514
0.750 0.421 0.514
0.750 0.555 0.107
0.750 0.750 0.471
0.750 0.750 0.999
0.750 0.945 0.107

---

# 8
Ba3AgO2 | Alexandria | PBE | relaxed; energy relative to the elements, uncorrected = -1.6166 eV per atom; space group = Cmcm
1.0
5.224 -6.535 0.000
5.224 6.535 0.000
0.000 0.000 6.492
Ba Ag O
6 2 4
direct
0.091 0.909 0.750
0.174 0.380 0.750
0.380 0.174 0.250
0.620 0.826 0.750
0.826 0.620 0.250
0.909 0.091 0.250
0.309 0.691 0.250
0.691 0.309 0.750
0.160 0.160 0.000
0.160 0.160 0.500
0.840 0.840 0.000
0.840 0.840 0.500

---

# 9
PrSmAl4 | Alexandria | PBE | relaxed; E_form = -0.49 eV/atom; space group = F-43m
1.0
0.000 4.016 4.016
4.016 0.000 4.016
4.016 4.016 0.000
Pr Sm Al
1 1 4
direct
0.000 0.000 0.000
0.750 0.750 0.750
0.375 0.375 0.375
0.375 0.375 0.875
0.375 0.875 0.375
0.875 0.375 0.375

---

# 10
In6PbCl12 | Alexandria | PBE | relaxed; energy relative to the elements, uncorrected = -0.7587 eV per atom; space group = R-3
1.0
9.320 5.381 2.170
-9.320 5.381 2.170
0.000 -10.762 2.170
In Pb Cl
6 1 12
direct
0.114 0.259 0.395
0.259 0.395 0.114
0.395 0.114 0.259
0.605 0.886 0.741
0.741 0.605 0.886
0.886 0.741 0.605
0.500 0.500 0.500
0.109 0.766 0.110
0.110 0.109 0.766
0.234 0.890 0.891
0.261 0.729 0.501
0.271 0.499 0.739
0.499 0.739 0.271
0.501 0.261 0.729
0.729 0.501 0.261
0.739 0.271 0.499
0.766 0.110 0.109
0.890 0.891 0.234
0.891 0.234 0.890

---

# 11
K2ScIr | Alexandria | PBE | relaxed; E_form = 0.86 eV/atom; offset from the most stable computed form = 841 meV per atom; space group = P4/mmm
1.0
4.689 0.000 0.000
0.000 4.689 0.000
0.000 0.000 5.446
K Sc Ir
2 1 1
direct
0.000 0.000 0.240
0.000 0.000 0.760
0.500 0.500 0.500
0.500 0.500 0.000

---

# 12
Na5Tl5In2 | Alexandria | PBE | relaxed; E_form = -0.11 eV/atom; offset from the most stable computed form = 0 meV per atom; space group = C2/m
1.0
4.617 -2.668 0.000
4.617 2.668 0.000
-3.081 0.000 14.202
Na Tl In
5 5 2
direct
0.000 0.000 0.000
0.193 0.193 0.580
0.274 0.274 0.828
0.726 0.726 0.172
0.807 0.807 0.420
0.107 0.107 0.320
0.352 0.352 0.056
0.500 0.500 0.500
0.648 0.648 0.944
0.893 0.893 0.680
0.425 0.425 0.270
0.575 0.575 0.730

---

# 13
BeSi2Pb | Alexandria | PBE | relaxed; offset from the most stable computed form = 102 meV per atom; energy relative to the elements, uncorrected = 0.4643 eV per atom; space group = Cmm2
1.0
2.285 -2.355 0.000
2.285 2.355 0.000
0.000 0.000 6.876
Be Si Pb
1 2 1
direct
0.000 0.000 0.000
0.000 0.000 0.329
0.500 0.500 0.167
0.500 0.500 0.731

---

# 14
LaBeCo3 | Alexandria | PBE | relaxed; E_form = 1.85 eV/atom; offset from the most stable computed form = 1756 meV per atom; space group = Pm-3m
1.0
4.577 0.000 0.000
0.000 4.577 0.000
0.000 0.000 4.577
La Be Co
1 1 3
direct
0.000 0.000 0.000
0.500 0.500 0.500
0.000 0.000 0.500
0.000 0.500 0.000
0.500 0.000 0.000

---

# 15
Lu3Ga | Alexandria | PBE | relaxed; E_form = -0.01 eV/atom; space group = Pmm2
1.0
3.352 0.000 0.000
0.000 3.353 0.000
0.000 0.000 9.775
Lu Ga
3 1
direct
0.000 0.000 0.000
0.000 0.500 0.309
0.500 0.500 0.745
0.500 0.000 0.496

---

# 16
Zr2Tc | Alexandria | PBE | relaxed; E_form = -0.04 eV/atom; offset from the most stable computed form = 231 meV per atom; space group = I4_1/amd
1.0
-1.613 1.613 12.426
1.613 -1.613 12.426
1.613 1.613 -12.426
Zr Tc
4 2
direct
0.310 0.560 0.750
0.440 0.690 0.750
0.560 0.310 0.250
0.690 0.440 0.250
0.125 0.875 0.250
0.875 0.125 0.750

---

# 17
La6TlPd | Alexandria | PBE | relaxed; E_form = -0.11 eV/atom; offset from the most stable computed form = 137 meV per atom; space group = C2/m
1.0
3.696 -6.053 0.000
3.696 6.053 0.000
-3.163 0.000 6.228
La Tl Pd
6 1 1
direct
0.003 0.586 0.760
0.235 0.235 0.786
0.414 0.997 0.240
0.586 0.003 0.760
0.765 0.765 0.214
0.997 0.414 0.240
0.500 0.500 0.500
0.000 0.000 0.000

---

# 18
LaReB2O8 | Alexandria | PBE | relaxed; energy relative to the elements, uncorrected = -2.1661 eV per atom; space group = P-3m1
1.0
4.922 0.000 0.000
-2.461 4.263 0.000
0.000 0.000 6.807
La Re B O
1 1 2 8
direct
0.000 0.000 0.000
0.000 0.000 0.500
0.333 0.667 0.242
0.667 0.333 0.758
0.173 0.345 0.331
0.173 0.827 0.331
0.333 0.667 0.039
0.345 0.173 0.669
0.655 0.827 0.331
0.667 0.333 0.961
0.827 0.173 0.669
0.827 0.655 0.669

---

# 19
UI3Br2 | Alexandria | PBE | relaxed; energy relative to the elements, uncorrected = -0.9017 eV per atom; space group = C2/c
1.0
6.630 -4.898 0.000
6.630 4.898 0.000
-2.769 0.000 9.169
U I Br
2 6 4
direct
0.097 0.903 0.750
0.903 0.097 0.250
0.173 0.824 0.064
0.176 0.827 0.436
0.394 0.606 0.750
0.606 0.394 0.250
0.824 0.173 0.564
0.827 0.176 0.936
0.121 0.294 0.334
0.294 0.121 0.834
0.706 0.879 0.166
0.879 0.706 0.666

---

# 20
SrTl3I | Alexandria | PBE | relaxed; offset from the most stable computed form = 261 meV per atom; energy relative to the elements, uncorrected = 0.3191 eV per atom; space group = Pm-3m
1.0
6.475 0.000 0.000
0.000 6.475 0.000
0.000 0.000 6.475
Sr Tl I
1 3 1
direct
0.000 0.000 0.000
0.000 0.000 0.500
0.000 0.500 0.000
0.500 0.000 0.000
0.500 0.500 0.500

---

Mass density, record by record: 5.99, 8.28, 5.62, 6.42, 16.27, 9.44, 10.73, 4.13, 5.12, 3.36, 4.37, 6.49, 6.11, 5.62, 8.99, 7.20, 6.82, 5.52, 4.34, 5.06 g/cm³
Volume, record by record: 119.4, 129.0, 124.6, 58.5, 143.8, 201.4, 550.6, 443.3, 129.5, 652.8, 119.7, 349.9, 74.0, 95.9, 109.9, 129.4, 278.7, 142.8, 595.5, 271.5 Å³ per cell